Record 1
Below is an optimized crystal structure of NaAgBr2, with properties calculated at the PBE level.

Its energy above the most stable polymorph in this dataset is 35 meV per atom. The formation energy without anion corrections is -895 meV/atom. As for the total energy: -11.10 eV/cell. Its space group is R-3m, No. 166. The density of states at the Fermi level is 0.000 states/eV per atom.

Cell lengths 8.407, 8.407, 8.407 Å; angles 31.05, 31.05, 31.05 degrees
Sites, in units of the cell vectors:
Na  0.000  0.000  0.000
Ag  0.500  0.500  0.500
Br  0.397  0.397  0.397
Br  0.603  0.603  0.603

Record 2
Below is an optimized crystal structure of Na3Ag3Br8, with properties calculated at the PBE level.

The formation energy without anion corrections is -764 meV/atom. As for the total energy: -36.59 eV/cell. Its space group is R-3m, No. 166. The density of states at the Fermi level is 0.891 states/eV per atom.

Cell lengths 8.519, 8.519, 8.519 Å; angles 58.23, 58.23, 58.23 degrees
Sites, in units of the cell vectors:
Na  0.000  0.500  0.500
Na  0.500  0.000  0.500
Na  0.500  0.500  0.000
Ag  0.135  0.135  0.135
Ag  0.500  0.500  0.500
Ag  0.865  0.865  0.865
Br  0.260  0.260  0.260
Br  0.260  0.733  0.733
Br  0.267  0.267  0.740
Br  0.267  0.740  0.267
Br  0.733  0.260  0.733
Br  0.733  0.733  0.260
Br  0.740  0.267  0.267
Br  0.740  0.740  0.740

Record 3
Below is an optimized crystal structure of NaAgBr2, with properties calculated at the PBE level.

Its energy above the most stable polymorph in this dataset is 8 meV per atom. The formation energy without anion corrections is -923 meV/atom. As for the total energy: -22.42 eV/cell. Its space group is I-42d, No. 122. The density of states at the Fermi level is 0.000 states/eV per atom.

Cell lengths 7.877, 7.877, 7.877 Å; angles 131.37, 131.37, 71.23 degrees
Sites, in units of the cell vectors:
Na  0.000  0.000  0.000
Na  0.750  0.250  0.500
Ag  0.250  0.750  0.500
Ag  0.500  0.500  0.000
Br  0.142  0.625  0.017
Br  0.375  0.392  0.517
Br  0.608  0.125  0.983
Br  0.875  0.858  0.483

Record 4
Below is an optimized crystal structure of Na3AgBr4, with properties calculated at the PBE level.

Its energy above the most stable polymorph in this dataset is 19 meV per atom. The formation energy without anion corrections is -1227 meV/atom. As for the total energy: -46.63 eV/cell. Its space group is Pmn2_1, No. 31. The density of states at the Fermi level is 0.000 states/eV per atom.

Cell lengths 9.945, 8.642, 6.003 Å; angles 90.00, 90.00, 90.00 degrees
Sites, in units of the cell vectors:
Na  0.000  0.156  0.000
Na  0.248  0.332  0.500
Na  0.252  0.668  0.000
Na  0.500  0.844  0.500
Na  0.748  0.668  0.000
Na  0.752  0.332  0.500
Ag  0.000  0.827  0.499
Ag  0.500  0.173  0.999
Br  0.000  0.151  0.500
Br  0.000  0.826  0.000
Br  0.245  0.670  0.500
Br  0.255  0.330  0.000
Br  0.500  0.174  0.500
Br  0.500  0.849  0.000
Br  0.745  0.330  0.000
Br  0.755  0.670  0.500

Record 5
Below is an optimized crystal structure of NaAgBr2, with properties calculated at the PBE level.

Its energy above the most stable polymorph in this dataset is 169 meV per atom. The formation energy without anion corrections is -762 meV/atom. As for the total energy: -10.56 eV/cell. Its space group is Fm-3m, No. 225. The density of states at the Fermi level is 0.000 states/eV per atom.

Cell lengths 5.159, 5.159, 5.159 Å; angles 60.00, 60.00, 60.00 degrees
Sites, in units of the cell vectors:
Na  0.000  0.000  0.000
Ag  0.500  0.500  0.500
Br  0.250  0.250  0.250
Br  0.750  0.750  0.750

Record 6
Below is an optimized crystal structure of NaAgBr, with properties calculated at the PBE level.

Its energy above the most stable polymorph in this dataset is 0 meV per atom. The formation energy without anion corrections is -764 meV/atom. As for the total energy: -16.27 eV/cell. Its space group is Pm, No. 6. The density of states at the Fermi level is 0.114 states/eV per atom.

Cell lengths 3.762, 3.892, 10.776 Å; angles 90.00, 99.67, 90.00 degrees
Sites, in units of the cell vectors:
Na  0.000  0.000  0.000
Na  0.173  0.500  0.348
Ag  0.319  0.500  0.643
Ag  0.780  0.000  0.561
Br  0.454  0.500  0.905
Br  0.621  0.000  0.241

Record 7
Below is an optimized crystal structure of NaAg3Br, with properties calculated at the PBE level.

Its energy above the most stable polymorph in this dataset is 146 meV per atom. The formation energy without anion corrections is 652 meV/atom. As for the total energy: -8.28 eV/cell. Its space group is Pm-3m, No. 221. The density of states at the Fermi level is 0.712 states/eV per atom.

Cell lengths 5.169, 5.169, 5.169 Å; angles 90.00, 90.00, 90.00 degrees
Sites, in units of the cell vectors:
Na  0.000  0.000  0.000
Ag  0.000  0.000  0.500
Ag  0.000  0.500  0.000
Ag  0.500  0.000  0.000
Br  0.500  0.500  0.500

Record 8
Below is an optimized crystal structure of Na2Ag3Br6, with properties calculated at the PBE level.

The formation energy without anion corrections is -722 meV/atom. As for the total energy: -29.17 eV/cell. Its space group is C2/m, No. 12. The density of states at the Fermi level is 0.923 states/eV per atom.

Cell lengths 7.131, 7.131, 7.453 Å; angles 101.89, 101.89, 115.74 degrees
Sites, in units of the cell vectors:
Na  0.170  0.830  0.000
Na  0.830  0.170  0.000
Ag  0.000  0.000  0.500
Ag  0.332  0.668  0.500
Ag  0.668  0.332  0.500
Br  0.045  0.389  0.739
Br  0.273  0.273  0.280
Br  0.389  0.045  0.739
Br  0.611  0.955  0.261
Br  0.727  0.727  0.720
Br  0.955  0.611  0.261

Q: Look up the total energy of the sixth one.
A: -16.27 eV/cell

Copy entry 5 word for word.
Below is an optimized crystal structure of NaAgBr2, with properties calculated at the PBE level.

Its energy above the most stable polymorph in this dataset is 169 meV per atom. The formation energy without anion corrections is -762 meV/atom. As for the total energy: -10.56 eV/cell. Its space group is Fm-3m, No. 225. The density of states at the Fermi level is 0.000 states/eV per atom.

Cell lengths 5.159, 5.159, 5.159 Å; angles 60.00, 60.00, 60.00 degrees
Sites, in units of the cell vectors:
Na  0.000  0.000  0.000
Ag  0.500  0.500  0.500
Br  0.250  0.250  0.250
Br  0.750  0.750  0.750

Q: What is the total energy in the seventh record?
A: -8.28 eV/cell

Q: Among the records above, which one has the lowest total energy?
A: Na3AgBr4